First-principles (PBE) data for a relaxed structure of Sm2Cd3In2, as listed in Alexandria.

Values from the calculation:
Distance to the lowest polymorph of the same formula ... 0.0 meV per atom
Energy of formation from the pure elements ... -334 meV/atom
SG ... No. 12

abc: 4.7694 6.1497 7.1926
angles: 109.86 90.00 112.82
Atoms (fractional coordinates):
1 In 0.8498 0.6996 0.7687
2 Sm 0.1511 0.3021 0.7646
3 Sm 0.8489 0.6979 0.2354
4 In 0.1502 0.3004 0.2313
5 Cd 0.5986 0.1973 0.4303
6 Cd 0.5000 0.0000 0.0000
7 Cd 0.4014 0.8027 0.5697